1.
Material: Sm7YIn2
Method: DFT, GGA-PBE
State: optimized geometry

```
Sm7YIn2
1.0
-0.414 -0.633 5.352
-7.907 -4.557 -1.150
7.933 -4.654 0.064
Sm Y In
7 1 2
Cartesian
-4.346 -4.579 -0.877
4.372 -4.632 -0.209
1.709 -1.999 2.626
-2.097 -7.845 1.640
-2.114 -1.975 2.333
1.726 -7.868 1.933
-0.194 -4.922 2.133
0.000 0.000 0.000
-3.288 -4.903 1.896
2.900 -4.941 2.370
```

Values from the calculation:
- E_tot (eV/atom) = -4.17
- formation enthalpy at 0 K (eV/atom) = 0.3289

2.
Material: TmURh2
Method: DFT, GGA-PBE
State: optimized geometry

```
TmURh2
1.0
3.360 0.000 0.000
0.000 3.360 0.000
0.000 0.000 6.967
Rh Tm U
2 1 1
Cartesian
0.000 0.000 5.280
0.000 0.000 1.687
1.680 1.680 3.483
1.680 1.680 0.000
```

Values from the calculation:
- E_tot (eV/atom) = -8.25
- formation enthalpy at 0 K (eV/atom) = -0.6393